1.
This record from Alexandria via LeMat-Bulk describes PmPaP after structural relaxation. The functional is PBE.

Output
formation enthalpy at 0 K = -1.797 eV per formula unit
distance to the lowest polymorph of the same formula = 0.000 eV per atom

Cell: 6.539 3.804 3.804 Å, 120.00 90.00 90.00°
Site moments in Bohr magnetons follow the coordinates.
Fractional positions:
1 P 0.006 0.000 0.000  0.00
2 Pa 0.260 0.333 0.667  0.77
3 Pm 0.734 0.667 0.333  0.17

2.
This record from Alexandria via LeMat-Bulk describes Ti2Be2Cu after structural relaxation. The functional is PBE.

Output
formation enthalpy at 0 K = -0.725 eV per formula unit
distance to the lowest polymorph of the same formula = 0.000 eV per atom

Cell: 5.925 5.925 3.573 Å, 90.00 90.00 90.00°
Fractional positions:
1 Be 0.372 0.872 0.000
2 Be 0.872 0.628 0.000
3 Be 0.628 0.128 0.000
4 Be 0.128 0.372 0.000
5 Cu 0.000 0.000 0.000
6 Cu 0.500 0.500 0.000
7 Ti 0.170 0.670 0.500
8 Ti 0.670 0.830 0.500
9 Ti 0.830 0.330 0.500
10 Ti 0.330 0.170 0.500

3.
This record from Alexandria via LeMat-Bulk describes KMgZr2 after structural relaxation. The functional is PBE.

Output
formation enthalpy at 0 K = 2.618 eV per formula unit

Cell: 6.860 6.860 6.860 Å, 154.02 125.39 61.44°
Fractional positions:
1 K 0.498 0.498 0.000
2 Mg 0.229 0.729 0.500
3 Zr 0.990 0.990 0.000
4 Zr 0.783 0.283 0.500

4.
This record from Alexandria via LeMat-Bulk describes Gd3PuO after structural relaxation. The functional is PBE.

Output
energy relative to the elements, uncorrected = -0.97 eV/atom

Cell: 4.960 4.960 4.960 Å, 90.00 90.00 90.00°
Site moments in Bohr magnetons follow the coordinates.
Fractional positions:
1 Gd 0.000 0.500 0.000  7.28
2 Gd 0.000 0.000 0.500  7.28
3 Gd 0.500 0.000 0.000  7.28
4 O 0.000 0.000 0.000  0.00
5 Pu 0.500 0.500 0.500  5.61

5.
This record from Alexandria via LeMat-Bulk describes Li2VBiSb after structural relaxation. The functional is PBE.

Output
energy relative to the elements, uncorrected = 0.58 eV/atom

Cell: 5.070 5.219 5.070 Å, 90.00 90.00 90.00°
Site moments in Bohr magnetons follow the coordinates.
Fractional positions:
1 Sb 0.500 0.500 0.500  -0.04
2 Li 0.000 0.000 0.500  0.08
3 Li 0.500 0.000 0.000  0.10
4 Bi 0.000 0.500 0.000  -0.11
5 V 0.000 0.000 0.000  2.96

6.
This record from Alexandria via LeMat-Bulk describes SrLi2Br after structural relaxation. The functional is PBE.

Output
energy relative to the elements, uncorrected = -0.61 eV/atom
distance to the lowest polymorph of the same formula = 0.010 eV per atom

Cell: 9.430 9.430 9.430 Å, 24.37 24.37 24.37°
Fractional positions:
1 Br 0.736 0.736 0.736
2 Li 0.014 0.014 0.014
3 Li 0.259 0.259 0.259
4 Sr 0.492 0.492 0.492

7.
This record from Alexandria via LeMat-Bulk describes Tb2ScGe3Pt4 after structural relaxation. The functional is PBE.

Output
formation enthalpy at 0 K = -9.823 eV per formula unit

Cell: 4.129 4.129 11.325 Å, 90.00 90.00 90.00°
Fractional positions:
1 Tb 0.500 0.000 0.229
2 Tb 0.000 0.500 0.771
3 Sc 0.500 0.500 0.500
4 Ge 0.000 0.000 0.500
5 Ge 0.500 0.000 0.866
6 Ge 0.000 0.500 0.134
7 Pt 0.500 0.500 0.000
8 Pt 0.000 0.000 0.000
9 Pt 0.500 0.000 0.650
10 Pt 0.000 0.500 0.350

8.
This record from Alexandria via LeMat-Bulk describes BaTlGa after structural relaxation. The functional is PBE.

Output
formation enthalpy at 0 K = -0.804 eV per formula unit

Cell: 13.584 6.884 4.211 Å, 90.00 90.00 90.00°
Fractional positions:
1 Tl 0.395 0.250 0.999
2 Tl 0.105 0.750 0.499
3 Tl 0.605 0.750 0.001
4 Tl 0.895 0.250 0.501
5 Ba 0.674 0.250 0.000
6 Ba 0.826 0.750 0.500
7 Ba 0.326 0.750 0.000
8 Ba 0.174 0.250 0.500
9 Ga 0.000 0.000 0.000
10 Ga 0.500 0.500 0.500
11 Ga 0.500 0.000 0.500
12 Ga 0.000 0.500 0.000

9.
This record from Alexandria via LeMat-Bulk describes BeTl2Pt after structural relaxation. The functional is PBE.

Output
formation enthalpy at 0 K = 1.963 eV per formula unit
distance to the lowest polymorph of the same formula = 0.581 eV per atom

Cell: 4.842 4.842 4.842 Å, 60.00 60.00 60.00°
Fractional positions:
1 Be 0.000 0.000 0.000
2 Tl 0.250 0.250 0.250
3 Tl 0.750 0.750 0.750
4 Pt 0.500 0.500 0.500

10.
This record from Alexandria via LeMat-Bulk describes TaGe3Pb after structural relaxation. The functional is PBE.

Output
formation enthalpy at 0 K = 1.870 eV per formula unit
distance to the lowest polymorph of the same formula = 0.000 eV per atom

Cell: 5.067 5.067 5.067 Å, 90.00 90.00 90.00°
Fractional positions:
1 Pb 0.500 0.500 0.500
2 Ge 0.000 0.500 0.000
3 Ge 0.000 0.000 0.500
4 Ge 0.500 0.000 0.000
5 Ta 0.000 0.000 0.000

Magnetic moment: 1.5; 0.0; 0.0; 28.9; 3.8; 0.0; 0.0; 0.0; 0.0; 0.0 (μB per formula unit)
Calculated density: 8.2; 4.7; 3.6; 10.0; 4.9; 2.4; 11.7; 6.9; 12.7; 7.7 (g/cm³)